[1]
TcNi2 at its PBEsol-relaxed geometry. Source: the Alexandria database, functional meta-GGA SCAN.

The total magnetization comes out at 0.000 μB per formula unit. As for the space group: Cmcm (63). Its relative energy among the computed polymorphs is 0.034 eV per atom. Its formation energy is 0.1 eV/f.u. The value obtained for the total DFT energy (no corrections) is -22.4323 eV per atom.

a b c (Å): 6.7862 6.7862 4.0940
angles (deg): 90.00 90.00 158.55
Closest atoms and distances in Å follow each position.
Sites, in units of the cell vectors:
Tc 0.1139 0.8861 0.7500  10 Ni 2.49-2.55, 2 Tc 2.53
Tc 0.8861 0.1139 0.2500  10 Ni 2.49-2.55, 2 Tc 2.53
Ni 0.2197 0.7803 0.2500  4 Tc 2.49-2.55, 8 Ni 2.53-2.57
Ni 0.4480 0.5520 0.7500  6 Ni 2.47-2.57, 6 Tc 2.54-2.55
Ni 0.5520 0.4480 0.2500  6 Ni 2.47-2.57, 6 Tc 2.54-2.55
Ni 0.7803 0.2197 0.7500  4 Tc 2.49-2.55, 8 Ni 2.53-2.57

[2]
TaFeCu at its PBEsol-relaxed geometry. Source: the Alexandria database, functional meta-GGA SCAN.

The total magnetization comes out at 2.438 μB per formula unit. As for the space group: Fmm2 (42). Its formation energy is 0.4 eV/f.u. The value obtained for the total DFT energy (no corrections) is -33.1694 eV per atom.

a b c (Å): 6.0685 5.9872 2.6652
angles (deg): 78.94 75.53 25.53
Closest atoms and distances in Å follow each position.
Sites, in units of the cell vectors:
Ta 0.0000 0.0000 0.0000  4 Fe 2.65-2.83, 4 Ta 2.67, 4 Cu 2.68-2.86
Fe 0.3266 0.3266 0.6734  4 Cu 2.45-2.64, 2 Ta 2.65, 4 Fe 2.67
Cu 0.6774 0.6774 0.3226  4 Fe 2.45-2.64, 4 Cu 2.67, 2 Ta 2.68

[3]
Hf20Co5P11 at its PBEsol-relaxed geometry. Source: the Alexandria database, functional meta-GGA SCAN.

The total magnetization comes out at 0.000 μB per formula unit. As for the space group: Pm (6). Its formation energy is -37.2 eV/f.u. The value obtained for the total DFT energy (no corrections) is -41.4331 eV per atom.

a b c (Å): 10.0709 3.5445 16.8494
angles (deg): 90.00 90.22 90.00
Closest atoms and distances in Å follow each position.
Sites, in units of the cell vectors:
Hf 0.0000 0.0000 0.0000  2 Co 2.50, 4 P 2.64-2.74
Hf 0.0010 0.0000 0.4997  3 Co 2.53-2.63, 3 P 2.70-2.78
Hf 0.0688 0.0000 0.7018  5 P 2.62-2.69
Hf 0.1315 0.5000 0.8555  5 P 2.63-2.68, 1 Co 2.69
Hf 0.1938 0.5000 0.2554  4 P 2.61-2.73, 3 Co 2.66-2.87
Hf 0.2347 0.5000 0.5616  3 P 2.62-2.67, 1 Co 2.66
Hf 0.2670 0.0000 0.1043  3 P 2.63-2.68, 1 Co 2.65
Hf 0.3105 0.0000 0.4088  4 P 2.63-2.73, 3 Co 2.63-2.90
Hf 0.3753 0.0000 0.8095  5 P 2.62-2.68, 1 Co 2.70
Hf 0.4388 0.5000 0.9637  5 P 2.63-2.70
Hf 0.5004 0.5000 0.1639  2 Co 2.49, 4 P 2.66-2.76
Hf 0.5068 0.5000 0.6639  2 Co 2.51, 4 P 2.65-2.73
Hf 0.5730 0.5000 0.4647  2 Co 2.57, 3 P 2.69-2.72
Hf 0.6317 0.0000 0.3108  2 Co 2.59-2.69, 4 P 2.63-2.66
Hf 0.6933 0.0000 0.9087  4 P 2.63-2.74, 3 Co 2.64-2.85
Hf 0.7389 0.0000 0.5985  2 Co 2.58-2.75, 2 P 2.71
Hf 0.7671 0.5000 0.0607  3 P 2.63-2.68, 1 Co 2.67
Hf 0.8117 0.5000 0.7546  3 Co 2.63-2.88, 4 P 2.63-2.74
Hf 0.8720 0.5000 0.3596  3 Co 2.58-2.68, 3 P 2.66-2.70
Hf 0.9385 0.0000 0.2000  5 P 2.62-2.67
Co 0.1185 0.5000 0.4195  2 P 2.29, 2 Hf 2.53
Co 0.3893 0.0000 0.2437  2 P 2.28, 2 Hf 2.49
Co 0.6198 0.0000 0.7449  2 P 2.27, 2 Hf 2.51
Co 0.7555 0.0000 0.4457  7 Hf 2.57-2.63
Co 0.8870 0.5000 0.9198  2 P 2.28, 2 Hf 2.50
P 0.0654 0.0000 0.3393  2 Co 2.29
P 0.0675 0.5000 0.1138  7 Hf 2.64-2.70
P 0.2476 0.0000 0.9486  7 Hf 2.63-2.68
P 0.2594 0.5000 0.7166  7 Hf 2.62-2.68
P 0.4326 0.0000 0.5505  7 Hf 2.67-2.71
P 0.4400 0.5000 0.3238  2 Co 2.28
P 0.5651 0.5000 0.8225  2 Co 2.27
P 0.5685 0.0000 0.0501  7 Hf 2.64-2.70
P 0.7493 0.5000 0.2166  7 Hf 2.62-2.70
P 0.9405 0.0000 0.8412  2 Co 2.28
P 0.9411 0.5000 0.6150  7 Hf 2.63-2.71

[4]
LiIr3Pb at its PBEsol-relaxed geometry. Source: the Alexandria database, functional meta-GGA SCAN.

The total magnetization comes out at 0.000 μB per formula unit. As for the space group: Pm-3m (221). Its formation energy is 4.4 eV/f.u. The value obtained for the total DFT energy (no corrections) is -57.4103 eV per atom.

a b c (Å): 4.2144 4.2144 4.2144
angles (deg): 90.00 90.00 90.00
Closest atoms and distances in Å follow each position.
Sites, in units of the cell vectors:
Li 0.0000 0.0000 0.0000  6 Ir 2.11
Ir 0.0000 0.0000 0.5000  2 Li 2.11
Ir 0.0000 0.5000 0.0000  2 Li 2.11
Ir 0.5000 0.0000 0.0000  2 Li 2.11
Pb 0.5000 0.5000 0.5000  12 Ir 2.98

[5]
NaZr2Bi2 at its PBEsol-relaxed geometry. Source: the Alexandria database, functional meta-GGA SCAN.

The total magnetization comes out at 0.000 μB per formula unit. As for the space group: I4/mmm (139). Its formation energy is -1.0 eV/f.u. The value obtained for the total DFT energy (no corrections) is -44.7566 eV per atom.

a b c (Å): 7.6046 7.6046 7.6046
angles (deg): 144.71 144.71 50.76
Closest atoms and distances in Å follow each position.
Sites, in units of the cell vectors:
Na 0.0000 0.0000 0.0000  8 Bi 3.63
Zr 0.2500 0.7500 0.5000  4 Bi 2.94, 4 Zr 3.26
Zr 0.7500 0.2500 0.5000  4 Bi 2.94, 4 Zr 3.26
Bi 0.3830 0.3830 0.0000  4 Zr 2.94, 1 Bi 3.22
Bi 0.6170 0.6170 0.0000  4 Zr 2.94, 1 Bi 3.22

[6]
TaAl2Ir2 at its PBEsol-relaxed geometry. Source: the Alexandria database, functional meta-GGA SCAN.

The total magnetization comes out at 0.000 μB per formula unit. As for the space group: P4/mbm (127). Its formation energy is -3.6 eV/f.u. The value obtained for the total DFT energy (no corrections) is -45.5870 eV per atom.

a b c (Å): 7.2436 7.2436 2.8545
angles (deg): 90.00 90.00 90.00
Closest atoms and distances in Å follow each position.
Sites, in units of the cell vectors:
Ta 0.0000 0.0000 0.0000  4 Ir 2.79, 2 Ta 2.85, 8 Al 3.09
Ta 0.5000 0.5000 0.0000  4 Ir 2.79, 2 Ta 2.85, 8 Al 3.09
Al 0.1548 0.3452 0.5000  6 Ir 2.53-2.58
Al 0.3452 0.8452 0.5000  6 Ir 2.53-2.58
Al 0.6548 0.1548 0.5000  6 Ir 2.53-2.58
Al 0.8452 0.6548 0.5000  6 Ir 2.53-2.58
Ir 0.1418 0.6418 0.0000  6 Al 2.53-2.58, 2 Ta 2.79
Ir 0.3582 0.1418 0.0000  6 Al 2.53-2.58, 2 Ta 2.79
Ir 0.6418 0.8582 0.0000  6 Al 2.53-2.58, 2 Ta 2.79
Ir 0.8582 0.3582 0.0000  6 Al 2.53-2.58, 2 Ta 2.79

[7]
RuPtS2 at its PBEsol-relaxed geometry. Source: the Alexandria database, functional meta-GGA SCAN.

The total magnetization comes out at 0.000 μB per formula unit. For the uncorrected formation energy, the calculation gives 0.13 eV/atom. As for the space group: R-3m (166). Its relative energy among the computed polymorphs is 0.304 eV per atom. The value obtained for the total DFT energy (no corrections) is -30.9400 eV per atom.

a b c (Å): 7.3988 7.3988 7.3988
angles (deg): 25.88 25.88 25.88
Closest atoms and distances in Å follow each position.
Sites, in units of the cell vectors:
Ru 0.0000 0.0000 0.0000  2 S 2.19
Pt 0.5000 0.5000 0.5000  6 S 2.36
S 0.1023 0.1023 0.1023  1 Ru 2.19, 3 Pt 2.36
S 0.8977 0.8977 0.8977  1 Ru 2.19, 3 Pt 2.36

[8]
K2TiAlP3O12 at its PBEsol-relaxed geometry. Source: the Alexandria database, functional meta-GGA SCAN.

The total magnetization comes out at 0.000 μB per formula unit. For the uncorrected formation energy, the calculation gives -2.85 eV/atom. As for the space group: P2_13 (198). The value obtained for the total DFT energy (no corrections) is -10.5510 eV per atom.

a b c (Å): 9.7535 9.7535 9.7535
angles (deg): 90.00 90.00 90.00
Closest atoms and distances in Å follow each position.
Sites, in units of the cell vectors:
K 0.0433 0.0433 0.0433  9 O 2.79-3.12
K 0.1816 0.3184 0.6816  12 O 2.87-3.20
K 0.3184 0.6816 0.1816  12 O 2.87-3.20
K 0.4567 0.9567 0.5433  9 O 2.79-3.12
K 0.5433 0.4567 0.9567  9 O 2.79-3.12
K 0.6816 0.1816 0.3184  12 O 2.87-3.20
K 0.8184 0.8184 0.8184  12 O 2.87-3.20
K 0.9567 0.5433 0.4567  9 O 2.79-3.12
Ti 0.1640 0.6640 0.8360  6 O 1.92-1.95
Ti 0.3360 0.3360 0.3360  6 O 1.92-1.95
Ti 0.6640 0.8360 0.1640  6 O 1.92-1.95
Ti 0.8360 0.1640 0.6640  6 O 1.92-1.95
Al 0.1077 0.8923 0.3923  6 O 1.90-1.91
Al 0.3923 0.1077 0.8923  6 O 1.90-1.91
Al 0.6077 0.6077 0.6077  6 O 1.90-1.91
Al 0.8923 0.3923 0.1077  6 O 1.90-1.91
P 0.0204 0.2031 0.3708  4 O 1.52-1.55
P 0.1292 0.9796 0.7031  4 O 1.52-1.55
P 0.2031 0.3708 0.0204  4 O 1.52-1.55
P 0.2969 0.6292 0.5204  4 O 1.52-1.55
P 0.3708 0.0204 0.2031  4 O 1.52-1.55
P 0.4796 0.7969 0.8708  4 O 1.52-1.55
P 0.5204 0.2969 0.6292  4 O 1.52-1.55
P 0.6292 0.5204 0.2969  4 O 1.52-1.55
P 0.7031 0.1292 0.9796  4 O 1.52-1.55
P 0.7969 0.8708 0.4796  4 O 1.52-1.55
P 0.8708 0.4796 0.7969  4 O 1.52-1.55
P 0.9796 0.7031 0.1292  4 O 1.52-1.55
O 0.0087 0.5555 0.7721  1 P 1.55
O 0.0155 0.0521 0.3278  1 P 1.53
O 0.0507 0.7938 0.2345  1 P 1.52
O 0.0521 0.3278 0.0155  1 P 1.53
O 0.0555 0.7279 0.9913  1 P 1.55
O 0.1039 0.8299 0.7495  1 P 1.55
O 0.1701 0.2495 0.3961  1 P 1.55
O 0.1722 0.9845 0.5521  1 P 1.53
O 0.2062 0.7345 0.4493  1 P 1.52
O 0.2279 0.5087 0.9445  1 P 1.55
O 0.2345 0.0507 0.7938  1 P 1.52
O 0.2495 0.3961 0.1701  1 P 1.55
O 0.2505 0.6039 0.6701  1 P 1.55
O 0.2655 0.9493 0.2938  1 P 1.52
O 0.2721 0.4913 0.4445  1 P 1.55
O 0.2938 0.2655 0.9493  1 P 1.52
O 0.3278 0.0155 0.0521  1 P 1.53
O 0.3299 0.7505 0.8961  1 P 1.55
O 0.3961 0.1701 0.2495  1 P 1.55
O 0.4445 0.2721 0.4913  1 P 1.55
O 0.4479 0.6722 0.5155  1 P 1.53
O 0.4493 0.2062 0.7345  1 P 1.52
O 0.4845 0.9479 0.8278  1 P 1.53
O 0.4913 0.4445 0.2721  1 P 1.55
O 0.5087 0.9445 0.2279  1 P 1.55
O 0.5155 0.4479 0.6722  1 P 1.53
O 0.5507 0.7062 0.7655  1 P 1.52
O 0.5521 0.1722 0.9845  1 P 1.53
O 0.5555 0.7721 0.0087  1 P 1.55
O 0.6039 0.6701 0.2505  1 P 1.55
O 0.6701 0.2505 0.6039  1 P 1.55
O 0.6722 0.5155 0.4479  1 P 1.53
O 0.7062 0.7655 0.5507  1 P 1.52
O 0.7279 0.9913 0.0555  1 P 1.55
O 0.7345 0.4493 0.2062  1 P 1.52
O 0.7495 0.1039 0.8299  1 P 1.55
O 0.7505 0.8961 0.3299  1 P 1.55
O 0.7655 0.5507 0.7062  1 P 1.52
O 0.7721 0.0087 0.5555  1 P 1.55
O 0.7938 0.2345 0.0507  1 P 1.52
O 0.8278 0.4845 0.9479  1 P 1.53
O 0.8299 0.7495 0.1039  1 P 1.55
O 0.8961 0.3299 0.7505  1 P 1.55
O 0.9445 0.2279 0.5087  1 P 1.55
O 0.9479 0.8278 0.4845  1 P 1.53
O 0.9493 0.2938 0.2655  1 P 1.52
O 0.9845 0.5521 0.1722  1 P 1.53
O 0.9913 0.0555 0.7279  1 P 1.55

[9]
GaPtSe2Br at its PBEsol-relaxed geometry. Source: the Alexandria database, functional meta-GGA SCAN.

The total magnetization comes out at 1.462 μB per formula unit. For the uncorrected formation energy, the calculation gives 0.19 eV/atom. As for the space group: P4/mmm (123). The value obtained for the total DFT energy (no corrections) is -29.0460 eV per atom.

a b c (Å): 4.8927 4.8927 5.2115
angles (deg): 90.00 90.00 90.00
Closest atoms and distances in Å follow each position.
Sites, in units of the cell vectors:
Ga 0.0000 0.0000 0.0000  4 Br 3.46, 8 Se 3.57
Pt 0.5000 0.5000 0.5000  4 Se 2.45, 2 Br 2.61
Se 0.0000 0.5000 0.5000  2 Pt 2.45
Se 0.5000 0.0000 0.5000  2 Pt 2.45
Br 0.5000 0.5000 0.0000  2 Pt 2.61

[10]
Mg4Tl5 at its PBEsol-relaxed geometry. Source: the Alexandria database, functional meta-GGA SCAN.

The total magnetization comes out at 0.000 μB per formula unit. As for the space group: P6_3/mcm (193). Its relative energy among the computed polymorphs is 0.000 eV per atom. Its formation energy is -0.6 eV/f.u. The value obtained for the total DFT energy (no corrections) is -42.4737 eV per atom.

a b c (Å): 9.0060 9.0060 6.3080
angles (deg): 90.00 90.00 120.00
Closest atoms and distances in Å follow each position.
Sites, in units of the cell vectors:
Mg 0.0000 0.0000 0.0000  6 Tl 3.08, 2 Mg 3.15
Mg 0.0000 0.0000 0.5000  6 Tl 3.08, 2 Mg 3.15
Mg 0.0000 0.3687 0.2500  9 Tl 3.04-3.26
Mg 0.0000 0.6313 0.7500  9 Tl 3.04-3.26
Mg 0.3687 0.0000 0.2500  9 Tl 3.04-3.26
Mg 0.3687 0.3687 0.7500  9 Tl 3.04-3.26
Mg 0.6313 0.0000 0.7500  9 Tl 3.04-3.26
Mg 0.6313 0.6313 0.2500  9 Tl 3.04-3.26
Tl 0.0000 0.2941 0.7500  7 Mg 3.04-3.22
Tl 0.0000 0.7059 0.2500  7 Mg 3.04-3.22
Tl 0.2941 0.0000 0.7500  7 Mg 3.04-3.22
Tl 0.2941 0.2941 0.2500  7 Mg 3.04-3.22
Tl 0.3333 0.6667 0.0000  2 Tl 3.15, 6 Mg 3.26
Tl 0.3333 0.6667 0.5000  2 Tl 3.15, 6 Mg 3.26
Tl 0.6667 0.3333 0.0000  2 Tl 3.15, 6 Mg 3.26
Tl 0.6667 0.3333 0.5000  2 Tl 3.15, 6 Mg 3.26
Tl 0.7059 0.0000 0.2500  7 Mg 3.04-3.22
Tl 0.7059 0.7059 0.7500  7 Mg 3.04-3.22

[11]
LiMgZn2 at its PBEsol-relaxed geometry. Source: the Alexandria database, functional meta-GGA SCAN.

The total magnetization comes out at 0.000 μB per formula unit. As for the space group: Pmmm (47). Its formation energy is -0.7 eV/f.u. The value obtained for the total DFT energy (no corrections) is -8.7734 eV per atom.

a b c (Å): 2.9516 3.2741 6.4194
angles (deg): 90.00 90.00 90.00
Closest atoms and distances in Å follow each position.
Sites, in units of the cell vectors:
Li 0.0000 0.0000 0.0000  8 Zn 2.61
Mg 0.0000 0.0000 0.5000  8 Zn 2.85, 2 Mg 2.95
Zn 0.5000 0.5000 0.2177  4 Li 2.61, 1 Zn 2.80, 4 Mg 2.85
Zn 0.5000 0.5000 0.7823  4 Li 2.61, 1 Zn 2.80, 4 Mg 2.85

[12]
ScAlNi at its PBEsol-relaxed geometry. Source: the Alexandria database, functional meta-GGA SCAN.

The total magnetization comes out at 0.002 μB per formula unit. As for the space group: F-43m (216). Its formation energy is 0.3 eV/f.u. The value obtained for the total DFT energy (no corrections) is -12.6061 eV per atom.

a b c (Å): 4.2312 4.2312 4.2312
angles (deg): 60.00 60.00 60.00
Closest atoms and distances in Å follow each position.
Sites, in units of the cell vectors:
Sc 0.0000 0.0000 0.0000  4 Al 2.59
Al 0.2500 0.2500 0.2500  4 Ni 2.59, 4 Sc 2.59
Ni 0.5000 0.5000 0.5000  4 Al 2.59

- Which value of total DFT energy (no corrections) does entry 6 give?
  -45.5870 eV per atom